First-principles (PBE) data for TiTlF6 after structural relaxation, as listed in Alexandria via LeMat-Bulk.

Computed properties:
Total DFT energy (no corrections), eV per cell: -42.86
Size of the total moment, Bohr magnetons per cell: 0.0
Space group: R-3m, No. 166
Energy relative to the elements, uncorrected, meV per atom: -2671
Theoretical density, g cm⁻³: 5.64
Crystal system: trigonal

POSCAR file:
```
TiTlF6
1.0
3.626 2.093 2.365
-3.626 2.093 2.365
0.000 -4.187 2.365
Ti Tl F
1 1 6
Direct
0.000 0.000 0.000
0.500 0.500 0.500
0.078 0.719 0.719
0.281 0.281 0.922
0.281 0.922 0.281
0.719 0.078 0.719
0.719 0.719 0.078
0.922 0.281 0.281
```